No. 1
UAlSe3: relaxed, PBE-GGA.

Cell lengths 3.940, 6.832, 12.375 Å; angles 106.02, 90.00, 90.00 degrees
Positions (direct):
Se (0.250, 0.727, 0.442)
Al (0.750, 0.517, 0.749)
Al (0.250, 0.769, 0.251)
Se (0.750, 0.285, 0.558)
U (0.250, 0.058, 0.654)
Se (0.250, 0.428, 0.843)
U (0.750, 0.404, 0.346)
Se (0.250, 0.112, 0.240)
Se (0.750, 0.871, 0.760)
Se (0.750, 0.586, 0.157)

Calculated values
symmetry: Ama2, No. 40
calculated total energy: -59.87 eV for the cell shown

---

No. 2
AlVSe4: relaxed, PBE-GGA.

Cell lengths 4.484, 8.115, 9.788 Å; angles 104.99, 90.00, 106.04 degrees
Positions (direct):
Se (0.724, 0.448, 0.348)
Se (0.946, 0.892, 0.628)
Se (0.276, 0.552, 0.652)
Se (0.345, 0.690, 0.257)
V (0.176, 0.353, 0.263)
Se (0.054, 0.108, 0.372)
Se (0.655, 0.310, 0.743)
Se (0.106, 0.211, 0.040)
Al (0.888, 0.777, 0.369)
V (0.824, 0.647, 0.737)
Se (0.894, 0.789, 0.960)
Al (0.112, 0.223, 0.631)

Calculated values
symmetry: C2/m, No. 12
calculated total energy: -59.82 eV for the cell shown

---

No. 3
AlVSe2: relaxed, PBE-GGA.

Cell lengths 5.880, 5.880, 6.973 Å; angles 65.06, 65.06, 90.00 degrees
Positions (direct):
Se (0.142, 0.625, 0.250)
V (0.750, 0.250, 0.500)
Se (0.375, 0.392, 0.750)
V (0.000, 0.000, 0.000)
Se (0.608, 0.125, 0.250)
Al (0.250, 0.750, 0.500)
Se (0.875, 0.858, 0.750)
Al (0.500, 0.500, 0.000)

Calculated values
symmetry: I-42d, No. 122
calculated total energy: -42.22 eV for the cell shown